This record from Alexandria describes crystalline SrScTa at its relaxed geometry. The functional is PBE-GGA.

Cell lengths 5.1743, 5.1743, 5.1743 Å; angles 60.00, 60.00, 60.00 degrees
With the nearest neighbours (Å) after each atom.
Fractional positions:
Sr  0.5000  0.5000  0.5000  4 Ta 3.17
Ta  0.7500  0.7500  0.7500  4 Sc 3.17, 4 Sr 3.17
Sc  0.0000  0.0000  0.0000  4 Ta 3.17

Calculated values
Space-group type ... F-43m
Calculated formation energy ... 1388 meV/atom
Theoretical density ... 5.315 g/cm3
Polymorph energy (0 for the lowest one) ... 2.60 eV/f.u.


This record from Alexandria describes crystalline Pr2Ga3Ni12Rh at its relaxed geometry. The functional is PBE-GGA.

Cell lengths 9.4136, 9.4136, 9.4136 Å; angles 37.51, 37.51, 37.51 degrees
With the nearest neighbours (Å) after each atom.
Fractional positions:
Ni  0.9334  0.9334  0.3533  4 Ni 2.39-2.54, 1 Rh 2.42, 1 Ga 2.46
Ni  0.5825  0.5825  0.1905  2 Ga 2.33, 4 Ni 2.37-2.39
Ni  0.0666  0.0666  0.6467  4 Ni 2.39-2.54, 1 Rh 2.42, 1 Ga 2.46
Ni  0.8095  0.4175  0.4175  2 Ga 2.33, 4 Ni 2.37-2.39
Ni  0.4175  0.8095  0.4175  2 Ga 2.33, 4 Ni 2.37-2.39
Ni  0.9334  0.3533  0.9334  4 Ni 2.39-2.54, 1 Rh 2.42, 1 Ga 2.46
Ni  0.3533  0.9334  0.9334  4 Ni 2.39-2.54, 1 Rh 2.42, 1 Ga 2.46
Ni  0.6467  0.0666  0.0666  4 Ni 2.39-2.54, 1 Rh 2.42, 1 Ga 2.46
Ni  0.0666  0.6467  0.0666  4 Ni 2.39-2.54, 1 Rh 2.42, 1 Ga 2.46
Ni  0.4175  0.4175  0.8095  2 Ga 2.33, 4 Ni 2.37-2.39
Ni  0.5825  0.1905  0.5825  2 Ga 2.33, 4 Ni 2.37-2.39
Ni  0.1905  0.5825  0.5825  2 Ga 2.33, 4 Ni 2.37-2.39
Pr  0.3483  0.3483  0.3483  12 Ni 3.04-3.40
Pr  0.6517  0.6517  0.6517  12 Ni 3.04-3.40
Ga  0.5000  0.0000  0.0000  6 Ni 2.33-2.46
Ga  0.0000  0.5000  0.0000  6 Ni 2.33-2.46
Ga  0.0000  0.0000  0.5000  6 Ni 2.33-2.46
Rh  0.0000  0.0000  0.0000  6 Ni 2.42

Calculated values
Space-group type ... R-3m
Calculated formation energy ... 21 meV/atom
Theoretical density ... 7.770 g/cm3


This record from Alexandria describes crystalline Na5Hg4Pd at its relaxed geometry. The functional is PBE-GGA.

Cell lengths 3.7701, 3.7701, 17.2304 Å; angles 90.00, 90.00, 90.00 degrees
With the nearest neighbours (Å) after each atom.
Fractional positions:
Na  0.5000  0.5000  0.5000  8 Hg 3.24
Na  0.5000  0.5000  0.2865  8 Hg 3.24-3.29, 1 Na 3.52
Na  0.5000  0.5000  0.0821  1 Na 2.83, 4 Pd 3.02, 4 Hg 3.10
Na  0.5000  0.5000  0.9179  1 Na 2.83, 4 Pd 3.02, 4 Hg 3.10
Na  0.5000  0.5000  0.7135  8 Hg 3.24-3.29, 1 Na 3.52
Hg  0.0000  0.0000  0.3935  8 Na 3.24
Hg  0.0000  0.0000  0.6065  8 Na 3.24
Hg  0.0000  0.0000  0.8258  1 Pd 3.00, 8 Na 3.10-3.29
Hg  0.0000  0.0000  0.1742  1 Pd 3.00, 8 Na 3.10-3.29
Pd  0.0000  0.0000  0.0000  2 Hg 3.00, 8 Na 3.02

Calculated values
Space-group type ... P4/mmm
Calculated formation energy ... -196 meV/atom
Theoretical density ... 6.941 g/cm3


This record from Alexandria describes crystalline Cd4In2Hg2Pb at its relaxed geometry. The functional is PBE-GGA.

Cell lengths 3.2906, 3.2906, 24.7390 Å; angles 90.00, 90.00, 120.00 degrees
With the nearest neighbours (Å) after each atom.
Fractional positions:
Cd  0.6667  0.3333  0.8700  9 Cd 3.20-3.29, 3 Hg 3.21
Cd  0.6667  0.3333  0.0796  1 In 3.04, 3 Hg 3.22, 6 Cd 3.29
Cd  0.0000  0.0000  0.5555  3 Hg 3.23, 6 Cd 3.29, 3 In 3.31
Cd  0.0000  0.0000  0.7662  9 Cd 3.20-3.29, 3 Hg 3.23
Hg  0.0000  0.0000  0.9748  6 Cd 3.21-3.22, 6 Hg 3.29
Hg  0.6667  0.3333  0.6608  6 Cd 3.23, 6 Hg 3.29
Pb  0.0000  0.0000  0.3220  6 Pb 3.29, 6 In 3.51-3.60
In  0.6667  0.3333  0.2026  1 Cd 3.04, 6 In 3.29
In  0.6667  0.3333  0.4457  6 In 3.29, 3 Cd 3.31, 3 Pb 3.60

Calculated values
Space-group type ... P3m1
Calculated formation energy ... 57 meV/atom
Theoretical density ... 9.217 g/cm3


This record from Alexandria describes crystalline Li3Sc2PtO6 at its relaxed geometry. The functional is PBE-GGA.

Cell lengths 5.3721, 5.3721, 5.2911 Å; angles 98.90, 98.90, 120.57 degrees
With the nearest neighbours (Å) after each atom.
Fractional positions:
O  0.5703  0.9193  0.7561  2 Sc 2.10-2.13, 3 Li 2.18-2.25, 1 Pt 2.25
O  0.9193  0.5703  0.7561  2 Sc 2.10-2.13, 3 Li 2.18-2.25, 1 Pt 2.25
O  0.0807  0.4297  0.2439  2 Sc 2.10-2.13, 3 Li 2.18-2.25, 1 Pt 2.25
O  0.7448  0.7448  0.2285  1 Pt 2.08, 2 Sc 2.17, 3 Li 2.22-2.24
O  0.2552  0.2552  0.7715  1 Pt 2.08, 2 Sc 2.17, 3 Li 2.22-2.24
O  0.4297  0.0807  0.2439  2 Sc 2.10-2.13, 3 Li 2.18-2.25, 1 Pt 2.25
Li  0.1630  0.8370  0.5000  6 O 2.18-2.24
Li  0.5000  0.5000  0.5000  6 O 2.22-2.25
Li  0.8370  0.1630  0.5000  6 O 2.18-2.24
Pt  0.0000  0.0000  0.0000  6 O 2.08-2.25
Sc  0.6699  0.3301  0.0000  6 O 2.10-2.17
Sc  0.3301  0.6699  0.0000  6 O 2.10-2.17

Calculated values
Formation energy from raw total energies ... -2582.9 kJ/mol of formula units
Space-group type ... C2/m
Theoretical density ... 5.341 g/cm3


This record from Alexandria describes crystalline TbHo7Tm2 at its relaxed geometry. The functional is PBE-GGA.

Cell lengths 7.8472, 9.2819, 9.2894 Å; angles 141.77, 126.20, 47.59 degrees
With the nearest neighbours (Å) after each atom.
Fractional positions:
Ho  0.0000  0.5998  0.3997  7 Ho 3.51, 2 Tb 3.51, 3 Tm 3.52
Ho  0.5002  0.3000  0.1999  3 Tm 3.51, 8 Ho 3.51-3.52, 1 Tb 3.51
Ho  0.5000  0.5000  0.0000  6 Ho 3.51, 4 Tm 3.51, 2 Tb 3.52
Ho  0.0002  0.8002  0.2005  9 Ho 3.51-3.52, 2 Tm 3.51, 1 Tb 3.51
Ho  0.0000  0.4002  0.6004  7 Ho 3.51, 2 Tb 3.51, 3 Tm 3.52
Ho  0.9998  0.1998  0.7995  9 Ho 3.51-3.52, 2 Tm 3.51, 1 Tb 3.51
Ho  0.4998  0.7000  0.8001  3 Tm 3.51, 8 Ho 3.51-3.52, 1 Tb 3.51
Tm  0.4997  0.8997  0.5995  10 Ho 3.51-3.52, 1 Tm 3.51, 1 Tb 3.52
Tm  0.5003  0.1003  0.4005  10 Ho 3.51-3.52, 1 Tm 3.51, 1 Tb 3.52
Tb  0.0000  0.0000  0.0000  10 Ho 3.51-3.52, 2 Tm 3.52

Calculated values
Space-group type ... P-1
Calculated formation energy ... 22 meV/atom
Theoretical density ... 8.949 g/cm3
Polymorph energy (0 for the lowest one) ... 0.00 eV/f.u.


This record from Alexandria describes crystalline Hf2Sb at its relaxed geometry. The functional is PBE-GGA.

Cell lengths 3.6068, 7.6974, 9.9076 Å; angles 90.00, 100.49, 90.00 degrees
With the nearest neighbours (Å) after each atom.
Fractional positions:
Hf  0.5908  0.3087  0.1816  4 Sb 3.00-3.06, 7 Hf 3.04-3.31
Hf  0.6651  0.9618  0.3302  4 Sb 2.90-2.98, 3 Hf 3.04-3.20
Hf  0.9704  0.4826  0.9407  4 Sb 2.93-2.94, 4 Hf 3.20-3.25
Hf  0.4092  0.8087  0.8184  4 Sb 3.00-3.06, 7 Hf 3.04-3.31
Hf  0.8310  0.1082  0.6621  5 Sb 2.90-3.06
Hf  0.1690  0.6082  0.3379  5 Sb 2.90-3.06
Hf  0.0296  0.9826  0.0593  4 Sb 2.93-2.94, 4 Hf 3.20-3.25
Hf  0.3349  0.4618  0.6698  4 Sb 2.90-2.98, 3 Hf 3.04-3.20
Sb  0.5566  0.6883  0.1132  9 Hf 2.90-3.02
Sb  0.7851  0.7384  0.5701  8 Hf 2.90-3.06
Sb  0.2149  0.2384  0.4299  8 Hf 2.90-3.06
Sb  0.4434  0.1883  0.8868  9 Hf 2.90-3.02

Calculated values
Formation energy from raw total energies ... -100.9 kJ/mol of formula units
Space-group type ... Cmc2_1
Theoretical density ... 11.757 g/cm3


This record from Alexandria describes crystalline Nd2DyTl2Cd2 at its relaxed geometry. The functional is PBE-GGA.

Cell lengths 5.0110, 5.0110, 9.7179 Å; angles 75.06, 75.06, 60.00 degrees
With the nearest neighbours (Å) after each atom.
Fractional positions:
Nd  0.1262  0.1262  0.6214  3 Tl 3.25, 3 Cd 3.51, 1 Dy 3.51
Nd  0.8738  0.8738  0.3786  3 Tl 3.25, 3 Cd 3.51, 1 Dy 3.51
Tl  0.7398  0.7398  0.7806  3 Cd 2.94, 3 Nd 3.25
Tl  0.2602  0.2602  0.2194  3 Cd 2.94, 3 Nd 3.25
Cd  0.6118  0.6118  0.1647  3 Tl 2.94, 3 Dy 3.27
Cd  0.3882  0.3882  0.8353  3 Tl 2.94, 3 Dy 3.27
Dy  0.0000  0.0000  0.0000  6 Cd 3.27, 2 Nd 3.51, 6 Tl 3.54

Calculated values
Space-group type ... R-3m
Calculated formation energy ... -166 meV/atom
Theoretical density ... 8.927 g/cm3


This record from Alexandria describes crystalline Na3Ho3ZrTe8 at its relaxed geometry. The functional is PBE-GGA.

Cell lengths 8.6702, 8.6671, 9.1708 Å; angles 118.23, 90.00, 120.01 degrees
With the nearest neighbours (Å) after each atom.
Fractional positions:
Te  0.7640  0.5281  0.2760  1 Zr 2.97, 2 Ho 3.07, 2 Na 3.25
Te  0.2474  0.0116  0.2760  1 Zr 2.97, 2 Ho 3.07, 2 Na 3.25
Te  0.2359  0.9884  0.7240  1 Zr 2.97, 2 Ho 3.07, 2 Na 3.25
Te  0.7641  0.0116  0.2760  1 Zr 2.97, 2 Ho 3.07, 2 Na 3.25
Te  0.7442  0.4883  0.7321  3 Ho 3.07, 3 Na 3.24
Te  0.2558  0.5117  0.2679  3 Ho 3.07, 3 Na 3.24
Te  0.7526  0.9884  0.7240  1 Zr 2.97, 2 Ho 3.07, 2 Na 3.25
Te  0.2360  0.4719  0.7240  1 Zr 2.97, 2 Ho 3.07, 2 Na 3.25
Ho  0.5000  0.5000  0.5000  6 Te 3.07
Ho  0.0000  0.5000  0.5000  6 Te 3.07
Ho  0.5000  0.0000  0.5000  6 Te 3.07
Na  0.0000  0.5000  0.0000  6 Te 3.24-3.25
Na  0.5000  0.5000  0.0000  6 Te 3.24-3.25
Na  0.0000  0.0000  0.0000  6 Te 3.24-3.25
Zr  0.0000  0.0000  0.5000  6 Te 2.97

Calculated values
Formation energy from raw total energies ... -1743.2 kJ/mol of formula units
Space-group type ... C2/m
Theoretical density ... 5.567 g/cm3


This record from Alexandria describes crystalline PrY2F11 at its relaxed geometry. The functional is PBE-GGA.

Cell lengths 8.4551, 8.8570, 8.8570 Å; angles 71.69, 61.49, 61.49 degrees
With the nearest neighbours (Å) after each atom.
Fractional positions:
F  0.0000  0.0000  0.0000  2 F 2.22, 2 Y 2.37
F  0.0339  0.1864  0.5348  1 Y 2.20, 1 Pr 2.39
F  0.5000  0.5000  0.5000  2 F 2.22, 2 Y 2.37
F  0.2448  0.5348  0.1864  1 Y 2.20, 1 Pr 2.39
F  0.8418  0.9476  0.7914  1 Y 2.20, 1 Pr 2.40
F  0.4192  0.7914  0.9476  1 Y 2.20, 1 Pr 2.40
F  0.6088  0.3047  0.6953  1 F 2.22, 2 Y 2.26-2.31
F  0.1088  0.1953  0.8047  1 F 2.22, 2 Y 2.26-2.31
F  0.7552  0.4652  0.8136  1 Y 2.20, 1 Pr 2.39
F  0.4661  0.9652  0.3136  1 Y 2.20, 1 Pr 2.39
F  0.1582  0.0524  0.2086  1 Y 2.20, 1 Pr 2.40
F  0.8912  0.8047  0.1953  1 F 2.22, 2 Y 2.26-2.31
F  0.3418  0.2914  0.4476  1 Y 2.20, 1 Pr 2.40
F  0.7448  0.6864  0.0348  1 Y 2.20, 1 Pr 2.39
F  0.0808  0.5524  0.7086  1 Y 2.20, 1 Pr 2.40
F  0.3912  0.6953  0.3047  1 F 2.22, 2 Y 2.26-2.31
F  0.9661  0.8136  0.4652  1 Y 2.20, 1 Pr 2.39
F  0.9192  0.4476  0.2914  1 Y 2.20, 1 Pr 2.40
F  0.5339  0.0348  0.6864  1 Y 2.20, 1 Pr 2.39
F  0.6582  0.7086  0.5524  1 Y 2.20, 1 Pr 2.40
F  0.2552  0.3136  0.9652  1 Y 2.20, 1 Pr 2.39
F  0.5808  0.2086  0.0524  1 Y 2.20, 1 Pr 2.40
Y  0.6579  0.6888  0.3112  7 F 2.20-2.37
Y  0.8421  0.1888  0.8112  7 F 2.20-2.37
Y  0.3421  0.3112  0.6888  7 F 2.20-2.37
Y  0.1579  0.8112  0.1888  7 F 2.20-2.37
Pr  0.2500  0.2500  0.2500  8 F 2.39-2.40
Pr  0.7500  0.7500  0.7500  8 F 2.39-2.40

Calculated values
Formation energy from raw total energies ... -4617.1 kJ/mol of formula units
Space-group type ... Ibam
Theoretical density ... 3.443 g/cm3


This record from Alexandria describes crystalline Zr2GaSi at its relaxed geometry. The functional is PBE-GGA.

Cell lengths 3.7655, 3.7655, 6.9621 Å; angles 74.31, 74.31, 60.00 degrees
With the nearest neighbours (Å) after each atom.
Fractional positions:
Zr  0.7449  0.7449  0.7654  3 Si 2.67, 3 Ga 2.79
Zr  0.2551  0.2551  0.2346  3 Si 2.67, 3 Ga 2.79
Ga  0.5000  0.5000  0.5000  6 Zr 2.79
Si  0.0000  0.0000  0.0000  6 Zr 2.67

Calculated values
Formation energy from raw total energies ... -209.8 kJ/mol of formula units
Space-group type ... R-3m
Theoretical density ... 5.730 g/cm3


This record from Alexandria describes crystalline MoAsOs2 at its relaxed geometry. The functional is PBE-GGA.

Cell lengths 5.5791, 5.5791, 6.8265 Å; angles 65.88, 65.88, 90.00 degrees
With the nearest neighbours (Å) after each atom.
Fractional positions:
Mo  0.0000  0.0000  0.0000  4 Os 2.44
Mo  0.7500  0.2500  0.5000  4 Os 2.44
Os  0.6180  0.1250  0.2500  2 As 2.39, 2 Mo 2.44
Os  0.1320  0.6250  0.2500  2 As 2.39, 2 Mo 2.44
Os  0.3750  0.3820  0.7500  2 As 2.39, 2 Mo 2.44
Os  0.8750  0.8680  0.7500  2 As 2.39, 2 Mo 2.44
As  0.5000  0.5000  0.0000  4 Os 2.39
As  0.2500  0.7500  0.5000  4 Os 2.39

Calculated values
Space-group type ... I-42d
Calculated formation energy ... 872 meV/atom
Theoretical density ... 10.559 g/cm3


Number 1: total magnetization 1.19 μB per atom. Number 2: total magnetization 0.00 μB per atom. Number 3: total magnetization 0.00 μB per atom. Number 4: total magnetization 0.00 μB per atom. Number 5: total magnetization 0.08 μB per atom. Number 6: total magnetization 0.00 μB per atom. Number 7: total magnetization 0.00 μB per atom. Number 8: total magnetization 0.00 μB per atom. Number 9: total magnetization 0.00 μB per atom. Number 10: total magnetization 0.15 μB per atom. Number 11: total magnetization 0.00 μB per atom. Number 12: total magnetization 0.00 μB per atom.